# 1
Pm4TmS4, relaxed, DFT PBE; magnetization = 0.00 μB per formula unit; symmetry = I4/m (87); DOS(E_F) = 0.64 states/eV/atom; energy relative to the elements, uncorrected = -1.765 eV per atom
1.0
5.275 0.000 2.115
2.593 6.239 1.169
0.315 -0.121 6.851
Pm Tm S
4 1 4
direct
0.599 0.601 0.202
0.401 0.399 0.798
0.199 0.202 0.400
0.801 0.798 0.600
0.000 0.000 0.000
0.903 0.390 0.804
0.097 0.610 0.196
0.293 0.803 0.610
0.707 0.197 0.390

---

# 2
Pm3TmS4, relaxed, DFT PBE; magnetization = 0.00 μB per formula unit; offset from the most stable computed form = 33.2 meV/atom; symmetry = Pm-3m (221); DOS(E_F) = 0.55 states/eV/atom; energy relative to the elements, uncorrected = -1.975 eV per atom
1.0
5.644 0.000 0.000
0.000 5.644 0.000
0.000 0.000 5.644
Pm Tm S
3 1 4
direct
0.000 0.500 0.500
0.500 0.000 0.500
0.500 0.500 0.000
0.000 0.000 0.000
0.500 0.000 0.000
0.000 0.500 0.000
0.000 0.000 0.500
0.500 0.500 0.500

---

# 3
Pm2YTmS6, relaxed, DFT PBE; magnetization = 0.00 μB per formula unit; symmetry = R3 (146); DOS(E_F) = 0.00 states/eV/atom; energy relative to the elements, uncorrected = -2.045 eV per atom
1.0
7.005 0.000 0.000
3.503 6.067 0.000
3.502 2.022 6.182
Pm Y Tm S
2 1 1 6
direct
0.522 0.522 0.435
0.021 0.021 0.938
0.816 0.816 0.551
0.317 0.317 0.048
0.604 0.204 0.256
0.204 0.936 0.256
0.936 0.604 0.256
0.431 0.702 0.758
0.702 0.110 0.758
0.110 0.431 0.758

---

# 4
PmY2TmS6, relaxed, DFT PBE; magnetization = 0.00 μB per formula unit; symmetry = R3 (146); DOS(E_F) = 0.00 states/eV/atom; energy relative to the elements, uncorrected = -2.052 eV per atom
1.0
-3.614 5.604 1.949
-6.822 0.347 -1.267
-4.630 -0.662 5.699
Pm Y Tm S
1 2 1 6
direct
0.812 0.812 0.564
0.518 0.518 0.445
0.015 0.015 0.955
0.317 0.317 0.049
0.610 0.220 0.249
0.220 0.921 0.249
0.922 0.610 0.249
0.404 0.716 0.752
0.716 0.127 0.752
0.127 0.404 0.752

---

# 5
PmY2Tm3S6, relaxed, DFT PBE; magnetization = 0.00 μB per formula unit; symmetry = C2/m (12); DOS(E_F) = 0.42 states/eV/atom; energy relative to the elements, uncorrected = -1.971 eV per atom
1.0
-3.421 1.409 -1.174
-3.684 -5.878 3.678
2.203 5.407 6.485
Pm Y Tm S
1 2 3 6
direct
0.500 0.000 0.000
0.834 0.669 0.669
0.166 0.331 0.331
0.500 0.500 0.000
0.835 0.166 0.670
0.165 0.834 0.330
0.328 0.919 0.657
0.666 0.588 0.331
0.672 0.081 0.343
0.999 0.262 0.998
0.001 0.738 0.002
0.334 0.412 0.669

---

# 6
Pm2YTmS5, relaxed, DFT PBE; magnetization = 0.00 μB per formula unit; symmetry = P4/mmm (123); DOS(E_F) = 0.61 states/eV/atom; energy relative to the elements, uncorrected = -1.471 eV per atom
1.0
4.825 0.000 0.000
0.000 4.825 0.000
0.000 0.000 10.206
Pm Y Tm S
2 1 1 5
direct
0.500 0.500 0.299
0.500 0.500 0.701
0.000 0.000 0.000
0.000 0.000 0.500
0.000 0.500 0.500
0.500 0.000 0.500
0.000 0.000 0.754
0.000 0.000 0.246
0.500 0.500 0.000

---

# 7
Pm3YTm3S8, relaxed, DFT PBE; magnetization = 0.00 μB per formula unit; symmetry = R-3m (166); DOS(E_F) = 0.45 states/eV/atom; energy relative to the elements, uncorrected = -2.044 eV per atom
1.0
-4.177 -5.642 -3.446
-0.150 0.779 7.779
-3.555 5.404 -4.540
Pm Y Tm S
3 1 3 8
direct
0.000 0.000 0.000
0.000 0.500 0.000
0.500 0.500 0.000
0.000 0.000 0.500
0.500 0.000 0.500
0.500 0.500 0.500
0.000 0.500 0.500
0.256 0.511 0.267
0.744 0.489 0.733
0.750 0.501 0.262
0.250 0.499 0.738
0.750 0.012 0.262
0.250 0.988 0.738
0.261 0.012 0.262
0.739 0.988 0.738

---

# 8
Pm2YTm3S6, relaxed, DFT PBE; magnetization = 0.00 μB per formula unit; symmetry = C2/m (12); DOS(E_F) = 0.41 states/eV/atom; energy relative to the elements, uncorrected = -1.980 eV per atom
1.0
-3.267 -2.081 -0.355
2.186 -2.188 -7.285
4.926 -4.999 5.287
Pm Y Tm S
2 1 3 6
direct
0.832 0.665 0.665
0.168 0.335 0.335
0.500 0.000 0.000
0.500 0.500 0.000
0.832 0.167 0.664
0.168 0.833 0.336
0.332 0.929 0.665
0.662 0.594 0.324
0.668 0.071 0.335
0.996 0.253 0.991
0.004 0.747 0.009
0.338 0.406 0.676

---

# 9
Pm2Y3TmS6, relaxed, DFT PBE; magnetization = 0.00 μB per formula unit; symmetry = C2/m (12); DOS(E_F) = 0.44 states/eV/atom; energy relative to the elements, uncorrected = -1.996 eV per atom
1.0
3.932 0.000 0.000
0.000 7.926 0.290
-1.966 -2.277 8.278
Pm Y Tm S
2 3 1 6
direct
0.832 0.664 0.664
0.168 0.336 0.336
0.500 0.500 0.000
0.830 0.167 0.661
0.170 0.833 0.339
0.500 0.000 0.000
0.337 0.926 0.673
0.663 0.590 0.327
0.663 0.074 0.327
0.997 0.242 0.994
0.003 0.758 0.006
0.337 0.410 0.673

---

# 10
Pm3YTm2S6, relaxed, DFT PBE; magnetization = 0.00 μB per formula unit; symmetry = C2/m (12); DOS(E_F) = 0.44 states/eV/atom; energy relative to the elements, uncorrected = -2.002 eV per atom
1.0
6.802 -0.011 -0.001
-3.409 5.886 -0.001
-1.133 -1.962 6.542
Pm Y Tm S
3 1 2 6
direct
0.165 0.835 0.500
0.835 0.165 0.500
0.500 0.500 0.500
0.000 0.000 0.000
0.334 0.666 0.000
0.666 0.334 0.000
0.922 0.584 0.766
0.740 0.740 0.233
0.078 0.416 0.234
0.584 0.922 0.766
0.260 0.260 0.767
0.416 0.078 0.234

---

# 11
Pm2TmZnS5, relaxed, DFT PBE; magnetization = 0.00 μB per formula unit; symmetry = Cmc2_1 (36); DOS(E_F) = 0.08 states/eV/atom; energy relative to the elements, uncorrected = -1.747 eV per atom
1.0
3.840 0.000 0.000
-1.920 8.423 0.000
0.000 0.000 11.895
Pm Tm Zn S
4 2 2 10
direct
0.868 0.735 0.817
0.115 0.229 0.683
0.132 0.265 0.317
0.885 0.771 0.183
0.801 0.603 0.515
0.199 0.397 0.015
0.546 0.092 0.948
0.454 0.908 0.448
0.356 0.712 0.004
0.685 0.369 0.856
0.493 0.987 0.773
0.290 0.579 0.673
0.958 0.917 0.555
0.644 0.288 0.504
0.315 0.631 0.356
0.507 0.013 0.273
0.710 0.421 0.173
0.042 0.083 0.055

---

# 12
PmU3S4, relaxed, DFT PBE; magnetization = 7.18 μB per formula unit; symmetry = Cmmm (65); DOS(E_F) = 1.67 states/eV/atom; energy relative to the elements, uncorrected = -1.517 eV per atom
1.0
3.883 -0.048 0.066
0.049 6.514 1.876
-0.111 0.353 6.769
S U Pm
4 3 1
direct
0.000 0.756 0.744
0.500 0.753 0.253
0.000 0.244 0.256
0.500 0.247 0.747
0.500 0.000 0.500
0.000 0.000 0.000
0.000 0.500 0.500
0.500 0.500 0.000

---

# 13
PmUS3, relaxed, DFT PBE; magnetization = 2.76 μB per formula unit; offset from the most stable computed form = 0.0 meV/atom; symmetry = Pnma (62); DOS(E_F) = 1.15 states/eV/atom; energy relative to the elements, uncorrected = -1.740 eV per atom
1.0
3.936 0.000 0.000
0.000 7.421 0.000
0.000 0.000 15.359
Pm U S
4 4 12
direct
0.750 0.886 0.794
0.250 0.114 0.206
0.750 0.386 0.706
0.250 0.614 0.294
0.250 0.263 0.961
0.250 0.763 0.539
0.750 0.237 0.461
0.750 0.737 0.039
0.250 0.376 0.568
0.750 0.833 0.217
0.750 0.490 0.899
0.750 0.990 0.601
0.750 0.624 0.432
0.250 0.010 0.399
0.250 0.876 0.932
0.750 0.333 0.283
0.250 0.667 0.717
0.250 0.167 0.783
0.750 0.124 0.068
0.250 0.510 0.101

---

# 14
Pm2U2S7, relaxed, DFT PBE; magnetization = 4.00 μB per formula unit; symmetry = Imm2 (44); DOS(E_F) = 0.90 states/eV/atom; energy relative to the elements, uncorrected = -1.677 eV per atom
1.0
-0.012 -0.226 3.954
8.054 -2.083 1.888
5.481 6.101 2.348
Pm U S
2 2 7
direct
0.740 0.844 0.676
0.260 0.324 0.156
0.000 0.786 0.214
0.500 0.335 0.665
0.819 0.066 0.296
0.870 0.412 0.847
0.500 0.012 0.988
0.606 0.504 0.285
0.394 0.715 0.496
0.181 0.704 0.934
0.130 0.153 0.588

---

# 15
PmUS3, relaxed, DFT PBE; magnetization = 3.00 μB per formula unit; offset from the most stable computed form = 453.2 meV/atom; symmetry = Cmmm (65); DOS(E_F) = 1.10 states/eV/atom; energy relative to the elements, uncorrected = -1.286 eV per atom
1.0
-2.884 2.142 3.718
3.948 -2.442 4.468
2.576 7.946 -2.579
Pm U S
2 2 6
direct
0.000 0.685 0.371
0.000 0.315 0.629
0.500 0.119 0.237
0.500 0.881 0.763
0.500 0.269 0.000
0.000 0.853 0.706
0.500 0.731 0.000
0.500 0.500 0.500
0.000 0.147 0.294
0.500 0.000 0.500

---

# 16
Pm6US12, relaxed, DFT PBE; magnetization = 0.00 μB per formula unit; symmetry = R-3 (148); energy relative to the elements, uncorrected = -1.865 eV per atom
1.0
-0.661 -7.298 3.234
7.899 0.998 0.879
-2.468 4.327 6.273
Pm U S
6 1 12
direct
0.680 0.856 0.366
0.634 0.320 0.144
0.144 0.634 0.320
0.320 0.144 0.634
0.366 0.680 0.856
0.856 0.366 0.680
0.000 0.000 0.000
0.823 0.572 0.417
0.417 0.823 0.572
0.572 0.417 0.823
0.177 0.428 0.583
0.583 0.177 0.428
0.428 0.583 0.177
0.067 0.972 0.317
0.028 0.683 0.933
0.683 0.933 0.028
0.933 0.028 0.683
0.972 0.317 0.067
0.317 0.067 0.972

---

# 17
PmUS4, relaxed, DFT PBE; magnetization = 1.04 μB per formula unit; offset from the most stable computed form = 0.0 meV/atom; symmetry = C2/m (12); DOS(E_F) = 1.02 states/eV/atom; energy relative to the elements, uncorrected = -1.533 eV per atom
1.0
-2.804 3.440 -1.196
-2.073 -0.267 4.093
4.321 4.336 2.442
Pm U S
1 1 4
direct
0.000 0.000 0.000
0.500 0.500 0.500
0.000 0.501 0.265
0.501 0.000 0.265
0.000 0.499 0.735
0.499 0.000 0.735

---

# 18
Pm2US6, relaxed, DFT PBE; magnetization = 0.08 μB per formula unit; offset from the most stable computed form = 21.8 meV/atom; symmetry = P4_2/mnm (136); DOS(E_F) = 0.04 states/eV/atom; energy relative to the elements, uncorrected = -1.541 eV per atom
1.0
-3.962 -3.492 -3.608
-1.490 -3.571 5.092
-9.267 7.721 2.704
Pm U S
4 2 12
direct
0.000 0.000 0.334
0.500 0.500 0.834
0.500 0.500 0.166
0.000 0.000 0.666
0.000 0.000 0.000
0.500 0.500 0.500
0.312 0.312 0.346
0.688 0.688 0.346
0.188 0.812 0.846
0.812 0.188 0.846
0.188 0.812 0.154
0.812 0.188 0.154
0.312 0.312 0.654
0.688 0.688 0.654
0.287 0.287 0.000
0.713 0.713 0.000
0.213 0.787 0.500
0.787 0.213 0.500

---

# 19
PmU4S5, relaxed, DFT PBE; magnetization = 9.31 μB per formula unit; symmetry = Immm (71); DOS(E_F) = 2.09 states/eV/atom; energy relative to the elements, uncorrected = -1.486 eV per atom
1.0
-1.409 -1.727 3.169
4.704 -2.821 0.554
2.014 9.471 3.690
Pm U S
1 4 5
direct
0.000 0.000 0.000
0.400 0.400 0.799
0.797 0.797 0.594
0.203 0.203 0.406
0.600 0.600 0.201
0.604 0.104 0.208
0.802 0.302 0.603
0.198 0.698 0.397
0.000 0.500 0.000
0.396 0.896 0.792

---

# 20
PmU6S8, relaxed, DFT PBE; magnetization = 4.81 μB per formula unit; symmetry = R-3 (148); DOS(E_F) = 1.60 states/eV/atom; energy relative to the elements, uncorrected = -1.210 eV per atom
1.0
6.976 1.067 1.102
0.849 7.006 1.102
0.849 0.876 7.038
Pm U S
1 6 8
direct
0.000 0.000 0.000
0.534 0.364 0.915
0.364 0.915 0.534
0.915 0.534 0.364
0.466 0.636 0.085
0.636 0.085 0.466
0.085 0.466 0.636
0.689 0.689 0.689
0.311 0.311 0.311
0.646 0.871 0.186
0.871 0.186 0.646
0.186 0.646 0.871
0.354 0.129 0.814
0.129 0.814 0.354
0.814 0.354 0.129